[1]
A plane-wave DFT calculation with PBE was carried out for a relaxed Hf8FeIr2 crystal.

The structure in CIF format:
```
data_Hf8FeIr2
_symmetry_space_group_name_H-M 'C 1 2/m 1'
_symmetry_Int_Tables_number 12
_cell_length_a 15.499
_cell_length_b 4.631
_cell_length_c 6.287
_cell_angle_alpha 90.00
_cell_angle_beta 104.30
_cell_angle_gamma 90.00
loop_
_symmetry_equiv_pos_as_xyz
'x,y,z'
'-x,-y,-z'
'-x,y,-z'
'x,-y,z'
'x+1/2,y+1/2,z'
'-x+1/2,-y+1/2,-z'
'-x+1/2,y+1/2,-z'
'x+1/2,-y+1/2,z'
loop_
_atom_site_label
_atom_site_fract_x
_atom_site_fract_y
_atom_site_fract_z
Hf1 0.020 0.000 0.259
Hf2 0.090 0.500 0.946
Hf3 0.161 0.500 0.457
Hf4 0.197 0.000 0.803
Fe1 0.000 0.500 0.500
Ir1 0.191 0.000 0.217
```

Size of the total moment   0.00 μB per cell
Uncorrected energy   -109.92 eV per formula unit

=====

[2]
A plane-wave DFT calculation with PBE was carried out for a relaxed SiTcSb2 crystal.

The structure in CIF format:
```
data_SiTcSb2
_symmetry_space_group_name_H-M 'P 4/m m m'
_symmetry_Int_Tables_number 123
_symmetry_space_group_name_Hall '-P 4 2'
_cell_length_a 4.881
_cell_length_b 4.881
_cell_length_c 3.253
_cell_angle_alpha 90.00
_cell_angle_beta 90.00
_cell_angle_gamma 90.00
loop_
_atom_site_label
_atom_site_fract_x
_atom_site_fract_y
_atom_site_fract_z
Si1 0.000 0.000 0.000
Tc1 0.500 0.500 0.000
Sb1 0.000 0.500 0.500
```

Raw formation energy   0.59 eV per atom
Size of the total moment   0.00 μB per cell

=====

[3]
A plane-wave DFT calculation with PBE was carried out for a relaxed CePm4Ho3 crystal.

The structure in CIF format:
```
data_CePm4Ho3
_symmetry_space_group_name_H-M 'C 1 2/m 1'
_symmetry_Int_Tables_number 12
_cell_length_a 23.546
_cell_length_b 3.437
_cell_length_c 6.841
_cell_angle_alpha 90.00
_cell_angle_beta 106.77
_cell_angle_gamma 90.00
loop_
_symmetry_equiv_pos_as_xyz
'x,y,z'
'-x,-y,-z'
'-x,y,-z'
'x,-y,z'
'x+1/2,y+1/2,z'
'-x+1/2,-y+1/2,-z'
'-x+1/2,y+1/2,-z'
'x+1/2,-y+1/2,z'
loop_
_atom_site_label
_atom_site_fract_x
_atom_site_fract_y
_atom_site_fract_z
Ce1 0.000 0.000 0.000
Pm1 0.123 0.500 0.365
Pm2 0.241 0.000 0.236
Ho1 0.000 0.500 0.500
Ho2 0.123 0.500 0.882
```

Size of the total moment   1.84 μB per cell
Uncorrected energy   -37.13 eV per formula unit

=====

[4]
A plane-wave DFT calculation with PBE was carried out for a relaxed ZnNiW2Cl crystal.

The structure in CIF format:
```
data_ZnNiW2Cl
_symmetry_space_group_name_H-M 'P 4/m m m'
_symmetry_Int_Tables_number 123
_symmetry_space_group_name_Hall '-P 4 2'
_cell_length_a 4.734
_cell_length_b 4.734
_cell_length_c 4.492
_cell_angle_alpha 90.00
_cell_angle_beta 90.00
_cell_angle_gamma 90.00
loop_
_atom_site_label
_atom_site_fract_x
_atom_site_fract_y
_atom_site_fract_z
Zn1 0.000 0.000 0.000
Ni1 0.500 0.500 0.500
W1 0.000 0.500 0.000
Cl1 0.000 0.000 0.500
```

Raw formation energy   2.42 eV per atom
Size of the total moment   2.92 μB per cell

=====

[5]
A plane-wave DFT calculation with PBE was carried out for a relaxed Ce2Pu2FeSi4 crystal.

The structure in CIF format:
```
data_Ce2Pu2FeSi4
_symmetry_space_group_name_H-M 'I 4/m m m'
_symmetry_Int_Tables_number 139
_symmetry_space_group_name_Hall '-I 4 2'
_cell_length_a 6.762
_cell_length_b 6.762
_cell_length_c 8.095
_cell_angle_alpha 90.00
_cell_angle_beta 90.00
_cell_angle_gamma 90.00
loop_
_atom_site_label
_atom_site_fract_x
_atom_site_fract_y
_atom_site_fract_z
Ce1 0.000 0.500 0.250
Pu1 0.000 0.000 0.181
Fe1 0.000 0.000 0.500
Si1 0.237 0.237 0.500
```

Raw formation energy   -0.37 eV per atom
Size of the total moment   20.75 μB per cell

=====

[6]
A plane-wave DFT calculation with PBE was carried out for a relaxed LiZn5Cr crystal.

The structure in CIF format:
```
data_LiZn5Cr
_symmetry_space_group_name_H-M 'C m m m'
_symmetry_Int_Tables_number 65
_symmetry_space_group_name_Hall '-C 2 2'
_cell_length_a 6.300
_cell_length_b 6.324
_cell_length_c 5.615
_cell_angle_alpha 90.00
_cell_angle_beta 90.00
_cell_angle_gamma 90.00
loop_
_atom_site_label
_atom_site_fract_x
_atom_site_fract_y
_atom_site_fract_z
Li1 0.000 0.000 0.000
Zn1 0.000 0.500 0.000
Zn2 0.250 0.250 0.267
Cr1 0.000 0.500 0.500
```

Size of the total moment   5.98 μB per cell
Uncorrected energy   -17.28 eV per formula unit

=====

[7]
A plane-wave DFT calculation with PBE was carried out for a relaxed CaHfTc crystal.

The structure in CIF format:
```
data_CaHfTc
_symmetry_space_group_name_H-M 'P 1 21/m 1'
_symmetry_Int_Tables_number 11
_cell_length_a 3.281
_cell_length_b 4.423
_cell_length_c 10.854
_cell_angle_alpha 90.00
_cell_angle_beta 98.52
_cell_angle_gamma 90.00
loop_
_symmetry_equiv_pos_as_xyz
'x,y,z'
'-x,-y,-z'
'-x,y+1/2,-z'
'x,-y+1/2,z'
loop_
_atom_site_label
_atom_site_fract_x
_atom_site_fract_y
_atom_site_fract_z
Ca1 0.179 0.250 0.356
Hf1 0.052 0.750 0.106
Tc1 0.447 0.750 0.892
```

Size of the total moment   0.00 μB per cell
Uncorrected energy   -22.25 eV per formula unit

=====

[8]
A plane-wave DFT calculation with PBE was carried out for a relaxed SrZn3Hg crystal.

The structure in CIF format:
```
data_SrZn3Hg
_symmetry_space_group_name_H-M 'C m c m'
_symmetry_Int_Tables_number 63
_symmetry_space_group_name_Hall '-C 2c 2'
_cell_length_a 6.512
_cell_length_b 10.908
_cell_length_c 6.319
_cell_angle_alpha 90.00
_cell_angle_beta 90.00
_cell_angle_gamma 90.00
loop_
_atom_site_label
_atom_site_fract_x
_atom_site_fract_y
_atom_site_fract_z
Sr1 0.000 0.236 0.250
Zn1 0.000 0.358 0.750
Zn2 0.204 0.500 0.000
Hg1 0.000 0.110 0.750
```

Size of the total moment   0.00 μB per cell
Uncorrected energy   -7.08 eV per formula unit

=====

[9]
A plane-wave DFT calculation with PBE was carried out for a relaxed PmTm4Bi2 crystal.

The structure in CIF format:
```
data_PmTm4Bi2
_symmetry_space_group_name_H-M 'I 4/m m m'
_symmetry_Int_Tables_number 139
_symmetry_space_group_name_Hall '-I 4 2'
_cell_length_a 5.336
_cell_length_b 5.336
_cell_length_c 16.554
_cell_angle_alpha 90.00
_cell_angle_beta 90.00
_cell_angle_gamma 90.00
loop_
_atom_site_label
_atom_site_fract_x
_atom_site_fract_y
_atom_site_fract_z
Pm1 0.000 0.000 0.000
Tm1 0.000 0.000 0.181
Tm2 0.000 0.500 0.000
Bi1 0.000 0.000 0.366
```

Size of the total moment   0.00 μB per cell
Uncorrected energy   -27.60 eV per formula unit

=====

[10]
A plane-wave DFT calculation with PBE was carried out for a relaxed AgRhI crystal.

The structure in CIF format:
```
data_AgRhI
_symmetry_space_group_name_H-M 'C 1 m 1'
_symmetry_Int_Tables_number 8
_cell_length_a 6.532
_cell_length_b 4.745
_cell_length_c 9.931
_cell_angle_alpha 90.00
_cell_angle_beta 107.90
_cell_angle_gamma 90.00
loop_
_symmetry_equiv_pos_as_xyz
'x,y,z'
'x,-y,z'
'x+1/2,y+1/2,z'
'x+1/2,-y+1/2,z'
loop_
_atom_site_label
_atom_site_fract_x
_atom_site_fract_y
_atom_site_fract_z
Ag1 0.000 0.000 0.000
Ag2 0.039 0.500 0.870
Rh1 0.092 0.000 0.727
Rh2 0.190 0.500 0.642
I1 0.202 0.500 0.177
I2 0.258 0.000 0.513
```

Raw formation energy   0.22 eV per atom
Size of the total moment   0.00 μB per cell